--- 1 ---
{
  "formula": "LiCaW",
  "functional": "PBE-GGA",
  "state": "optimized geometry",
  "magnetic_moment_mub_per_cell": 14.72,
  "lattice_angstrom": [[6.678, 0.000, 0.000], [0.000, 6.678, 0.000], [0.000, 0.000, 6.678]],
  "species": ["Li", "Li", "Li", "Li", "Ca", "Ca", "Ca", "Ca", "W", "W", "W", "W"],
  "fractional_positions": [[0.000, 0.000, 0.000], [0.000, 0.500, 0.500], [0.500, 0.000, 0.500], [0.500, 0.500, 0.000], [0.250, 0.250, 0.250], [0.250, 0.750, 0.750], [0.750, 0.250, 0.750], [0.750, 0.750, 0.250], [0.250, 0.250, 0.750], [0.250, 0.750, 0.250], [0.750, 0.250, 0.250], [0.750, 0.750, 0.750]]
}


--- 2 ---
{
  "formula": "LiCaW",
  "functional": "PBE-GGA",
  "state": "optimized geometry",
  "magnetic_moment_mub_per_cell": 0.00,
  "lattice_angstrom": [[3.936, 0.000, 0.000], [0.000, 3.979, 0.000], [0.000, 0.000, 15.560]],
  "species": ["Li", "Li", "Li", "Li", "Ca", "Ca", "Ca", "Ca", "W", "W", "W", "W"],
  "fractional_positions": [[0.000, 0.000, 0.000], [0.000, 0.500, 0.500], [0.500, 0.000, 0.500], [0.500, 0.500, 0.000], [0.000, 0.000, 0.696], [0.000, 0.500, 0.196], [0.500, 0.000, 0.196], [0.500, 0.500, 0.696], [0.000, 0.000, 0.354], [0.000, 0.500, 0.854], [0.500, 0.000, 0.854], [0.500, 0.500, 0.354]]
}


The most stable arrangement is 2, and the next structure is 891 meV per atom less stable.


--- 1 ---
{
  "formula": "LiCa3W",
  "functional": "PBE-GGA",
  "state": "optimized geometry",
  "magnetic_moment_mub_per_cell": 0.00,
  "lattice_angstrom": [[5.632, 0.000, 0.000], [0.000, 5.632, 0.000], [0.000, 0.000, 5.632]],
  "species": ["Li", "Ca", "Ca", "Ca", "W"],
  "fractional_positions": [[0.000, 0.000, 0.000], [0.000, 0.500, 0.500], [0.500, 0.000, 0.500], [0.500, 0.500, 0.000], [0.500, 0.500, 0.500]]
}


--- 2 ---
{
  "formula": "LiCa3W",
  "functional": "PBE-GGA",
  "state": "optimized geometry",
  "magnetic_moment_mub_per_cell": 0.00,
  "lattice_angstrom": [[5.245, 0.000, 0.000], [0.000, 5.245, 0.000], [0.000, 0.000, 5.245]],
  "species": ["Li", "Ca", "Ca", "Ca", "W"],
  "fractional_positions": [[0.000, 0.000, 0.000], [0.000, 0.000, 0.500], [0.000, 0.500, 0.000], [0.500, 0.000, 0.000], [0.500, 0.500, 0.500]]
}


The most stable arrangement is 1, and the next structure is 430 meV per atom less stable.